1.
Sr3Zn | PBE | relaxed

Cell: 4.2588 4.2588 11.4365 Å, 90.00 90.00 120.00°
Space group P-6m2 (No. 187)
Asymmetric unit:
1 Sr 0.0000 0.0000 0.0000 [1 per cell]
2 Sr 0.3333 0.6667 0.3101 [2 per cell]
3 Zn 0.0000 0.0000 0.5000 [1 per cell]

Properties
Uncorrected energy: -1.603 eV/atom
ρ: 3.0 g cm⁻³
Fermi-level density of states: 3.70 states/eV per cell
Energy of formation: -0.0229 eV per atom

2.
Sr3Zn2 | PBE | relaxed

Cell: 4.9144 7.1056 10.3431 Å, 90.00 90.00 90.00°
Space group Immm (No. 71)
Asymmetric unit:
1 Sr 0.0000 0.0000 0.0000 [2 per cell]
2 Sr 0.0000 0.5000 0.1984 [4 per cell]
3 Zn 0.0000 0.1845 0.5000 [4 per cell]

Properties
Uncorrected energy: -1.647 eV/atom
ρ: 3.6 g cm⁻³
Fermi-level density of states: 7.64 states/eV per cell
Energy of formation: -0.1287 eV per atom

3.
SrZn5 | PBE | relaxed

Cell: 11.4901 3.9402 6.0650 Å, 90.00 114.97 90.00°
Space group C2/m (No. 12)
Asymmetric unit:
1 Sr 0.0000 0.0000 0.0000 [2 per cell]
2 Zn 0.0000 0.0000 0.5000 [2 per cell]
3 Zn 0.1622 0.5000 0.5066 [4 per cell]
4 Zn 0.2406 0.0000 0.8412 [4 per cell]

Properties
Uncorrected energy: -1.375 eV/atom
ρ: 5.5 g cm⁻³
Fermi-level density of states: 4.64 states/eV per cell
Energy of formation: -0.0334 eV per atom

4.
SrZn2 | PBE | relaxed

Cell: 6.4287 5.7386 8.3217 Å, 90.00 90.00 90.00°
Space group Pnma (No. 62)
Asymmetric unit:
1 Sr 0.1860 0.2500 0.1036 [4 per cell]
2 Zn 0.0689 0.7500 0.2576 [4 per cell]
3 Zn 0.1713 0.2500 0.4986 [4 per cell]

Properties
Uncorrected energy: -1.526 eV/atom
ρ: 4.7 g cm⁻³
Fermi-level density of states: 6.39 states/eV per cell
Energy of formation: -0.1157 eV per atom

5.
SrZn2 | PBE | relaxed

Cell: 4.4396 4.4396 15.7832 Å, 90.00 90.00 90.00°
Space group I4_1/amd (No. 141, origin choice 2)
Asymmetric unit:
1 Sr 0.0000 0.2500 0.3750 [4 per cell]
2 Zn 0.0000 0.2500 0.7918 [8 per cell]

Properties
Uncorrected energy: -1.648 eV/atom
ρ: 4.7 g cm⁻³
Fermi-level density of states: 9.82 states/eV per cell
Energy of formation: -0.2376 eV per atom

6.
SrZn12 | PBE | relaxed

Cell: 9.0591 9.0591 5.2816 Å, 90.00 90.00 90.00°
Space group I4/mmm (No. 139)
Asymmetric unit:
1 Sr 0.0000 0.0000 0.0000 [2 per cell]
2 Zn 0.0000 0.2271 0.5000 [8 per cell]
3 Zn 0.0000 0.3571 0.0000 [8 per cell]
4 Zn 0.2500 0.2500 0.2500 [8 per cell]

Properties
Uncorrected energy: -1.426 eV/atom
ρ: 6.7 g cm⁻³
Fermi-level density of states: 6.22 states/eV per cell
Energy of formation: -0.1202 eV per atom

7.
Sr3Zn5 | PBE | relaxed

Cell: 7.3887 10.6477 5.6000 Å, 90.00 90.00 90.00°
Space group Cmmm (No. 65)
Asymmetric unit:
1 Sr 0.0000 0.0000 0.0000 [2 per cell]
2 Sr 0.0000 0.3011 0.5000 [4 per cell]
3 Zn 0.0000 0.5000 0.0000 [2 per cell]
4 Zn 0.1799 0.0000 0.5000 [4 per cell]
5 Zn 0.2500 0.2500 0.0000 [4 per cell]

Properties
Uncorrected energy: -1.486 eV/atom
ρ: 4.4 g cm⁻³
Fermi-level density of states: 13.71 states/eV per cell
Energy of formation: -0.0593 eV per atom

8.
SrZn | PBE | relaxed

Cell: 4.5658 4.5658 23.1592 Å, 90.00 90.00 120.00°
Space group R-3m (No. 166, hexagonal axes)
Asymmetric unit:
1 Sr 0.0000 0.0000 0.0870 [6 per cell]
2 Zn 0.0000 0.0000 0.3334 [6 per cell]

Properties
Uncorrected energy: -1.676 eV/atom
ρ: 3.6 g cm⁻³
Fermi-level density of states: 10.19 states/eV per cell
Energy of formation: -0.1981 eV per atom

9.
Sr5Zn3 | PBE | relaxed

Cell: 12.9662 12.9662 6.9697 Å, 90.00 90.00 90.00°
Space group I4/mcm (No. 140)
Asymmetric unit:
1 Sr 0.0000 0.5000 0.2500 [4 per cell]
2 Sr 0.0806 0.2091 0.0000 [16 per cell]
3 Zn 0.0000 0.0000 0.2500 [4 per cell]
4 Zn 0.1582 0.3418 0.5000 [8 per cell]

Properties
Uncorrected energy: -1.621 eV/atom
ρ: 3.6 g cm⁻³
Fermi-level density of states: 28.81 states/eV per cell
Energy of formation: -0.0925 eV per atom

10.
SrZn | PBE | relaxed

Cell: 4.6537 4.6537 11.3361 Å, 90.00 90.00 120.00°
Space group R-3m (No. 166, hexagonal axes)
Asymmetric unit:
1 Sr 0.0000 0.0000 0.0000 [3 per cell]
2 Zn 0.0000 0.0000 0.5000 [3 per cell]

Properties
Uncorrected energy: -1.521 eV/atom
ρ: 3.6 g cm⁻³
Fermi-level density of states: 5.12 states/eV per cell
Energy of formation: -0.0436 eV per atom

11.
SrZn3 | PBE | relaxed

Cell: 5.7339 5.7339 5.7339 Å, 90.00 90.00 90.00°
Space group Pm-3n (No. 223)
Asymmetric unit:
1 Sr 0.0000 0.0000 0.0000 [2 per cell]
2 Zn 0.0000 0.2500 0.5000 [6 per cell]

Properties
Uncorrected energy: -1.352 eV/atom
ρ: 5.0 g cm⁻³
Fermi-level density of states: 2.70 states/eV per cell
Energy of formation: 0.0240 eV per atom

12.
SrZn | PBE | relaxed

Cell: 10.8042 9.9001 7.1934 Å, 90.00 90.00 90.00°
Space group Pbcm (No. 57)
Asymmetric unit:
1 Sr 0.1148 0.2500 0.0000 [4 per cell]
2 Sr 0.2136 0.6311 0.2500 [4 per cell]
3 Sr 0.3806 0.0149 0.2500 [4 per cell]
4 Zn 0.0741 0.5444 0.7500 [4 per cell]
5 Zn 0.3669 0.1584 0.7500 [4 per cell]
6 Zn 0.4684 0.7500 0.0000 [4 per cell]

Properties
Uncorrected energy: -1.611 eV/atom
ρ: 4.0 g cm⁻³
Fermi-level density of states: 22.22 states/eV per cell
Energy of formation: -0.1328 eV per atom